No. 1
A relaxed structure of In2HgAu2. Source: Alexandria via LeMat-Bulk, functional GGA-PBE.

Geometry as CIF:
```
data_In2HgAu2
_space_group_name_H-M_alt 'I 4/m m m'
_space_group_IT_number 139
_space_group_name_Hall '-I 4 2'
_cell_length_a 4.787
_cell_length_b 4.787
_cell_length_c 11.373
_cell_angle_alpha 90.00
_cell_angle_beta 90.00
_cell_angle_gamma 90.00
loop_
_atom_site_label
_atom_site_fract_x
_atom_site_fract_y
_atom_site_fract_z
_atom_site_occupancy
In1 0.000 0.500 0.250 1
Hg1 0.000 0.000 0.000 1
Au1 0.000 0.000 0.381 1
```

Properties
- calculated formation energy (eV per atom) = -0.01



No. 2
A relaxed structure of LaMnSbTe2. Source: Alexandria via LeMat-Bulk, functional GGA-PBE.

Geometry as CIF:
```
data_LaMnSbTe2
_space_group_name_H-M_alt 'P 4/m m m'
_space_group_IT_number 123
_space_group_name_Hall '-P 4 2'
_cell_length_a 6.093
_cell_length_b 6.093
_cell_length_c 6.174
_cell_angle_alpha 90.00
_cell_angle_beta 90.00
_cell_angle_gamma 90.00
loop_
_atom_site_label
_atom_site_fract_x
_atom_site_fract_y
_atom_site_fract_z
_atom_site_occupancy
La1 0.000 0.000 0.000 1
Mn1 0.500 0.500 0.500 1
Sb1 0.000 0.000 0.500 1
Te1 0.000 0.500 0.000 1
```

Properties
- formation energy without anion corrections (eV/atom) = 0.451
- energy above the most stable polymorph in this dataset (eV per atom) = 0.883



No. 3
A relaxed structure of AcIF. Source: Alexandria via LeMat-Bulk, functional GGA-PBE.

Geometry as CIF:
```
data_AcIF
_space_group_name_H-M_alt 'I 4 m m'
_space_group_IT_number 107
_space_group_name_Hall 'I 4 -2'
_cell_length_a 3.794
_cell_length_b 3.794
_cell_length_c 11.493
_cell_angle_alpha 90.00
_cell_angle_beta 90.00
_cell_angle_gamma 90.00
loop_
_atom_site_label
_atom_site_fract_x
_atom_site_fract_y
_atom_site_fract_z
_atom_site_occupancy
Ac1 0.000 0.000 0.000 1
I1 0.000 0.000 0.307 1
F1 0.000 0.000 0.577 1
```

Properties
- formation energy without anion corrections (eV/atom) = -2.144
- energy above the most stable polymorph in this dataset (eV per atom) = 0.308



No. 4
A relaxed structure of Dy5NiIr4. Source: Alexandria via LeMat-Bulk, functional GGA-PBE.

Geometry as CIF:
```
data_Dy5NiIr4
_space_group_name_H-M_alt 'P 4/m m m'
_space_group_IT_number 123
_space_group_name_Hall '-P 4 2'
_cell_length_a 3.381
_cell_length_b 3.381
_cell_length_c 17.519
_cell_angle_alpha 90.00
_cell_angle_beta 90.00
_cell_angle_gamma 90.00
loop_
_atom_site_label
_atom_site_fract_x
_atom_site_fract_y
_atom_site_fract_z
_atom_site_occupancy
Dy1 0.000 0.000 0.000 1
Dy2 0.000 0.000 0.201 1
Dy3 0.000 0.000 0.401 1
Ni1 0.500 0.500 0.500 1
Ir1 0.500 0.500 0.101 1
Ir2 0.500 0.500 0.303 1
```

Properties
- calculated formation energy (eV per atom) = -0.73



No. 5
A relaxed structure of Ac5Tb2Nd. Source: Alexandria via LeMat-Bulk, functional GGA-PBE.

Geometry as CIF:
```
data_Ac5Tb2Nd
_space_group_name_H-M_alt 'P b a m'
_space_group_IT_number 55
_cell_length_a 7.659
_cell_length_b 15.310
_cell_length_c 5.473
_cell_angle_alpha 90.00
_cell_angle_beta 90.00
_cell_angle_gamma 90.00
loop_
_space_group_symop_operation_xyz
'x,y,z'
'-x,-y,-z'
'-x,-y,z'
'x,y,-z'
'x+1/2,-y+1/2,-z'
'-x+1/2,y+1/2,z'
'-x+1/2,y+1/2,-z'
'x+1/2,-y+1/2,z'
loop_
_atom_site_label
_atom_site_fract_x
_atom_site_fract_y
_atom_site_fract_z
_atom_site_occupancy
Ac1 0.000 0.000 0.000 1
Ac2 0.009 0.253 0.000 1
Ac3 0.242 0.622 0.500 1
Tb1 0.245 0.876 0.500 1
Nd1 0.000 0.500 0.000 1
```

Properties
- calculated formation energy (eV per atom) = 0.04



No. 6
A relaxed structure of MgZnSe2. Source: Alexandria via LeMat-Bulk, functional GGA-PBE.

Geometry as CIF:
```
data_MgZnSe2
_space_group_name_H-M_alt 'C 1 m 1'
_space_group_IT_number 8
_cell_length_a 13.757
_cell_length_b 4.138
_cell_length_c 7.203
_cell_angle_alpha 90.00
_cell_angle_beta 99.88
_cell_angle_gamma 90.00
loop_
_space_group_symop_operation_xyz
'x,y,z'
'x,-y,z'
'x+1/2,y+1/2,z'
'x+1/2,-y+1/2,z'
loop_
_atom_site_label
_atom_site_fract_x
_atom_site_fract_y
_atom_site_fract_z
_atom_site_occupancy
Mg1 0.000 0.000 0.000 1
Mg2 0.246 0.000 0.741 1
Zn1 0.251 0.500 0.248 1
Zn2 0.498 0.000 0.491 1
Se1 0.055 0.000 0.673 1
Se2 0.067 0.500 0.194 1
Se3 0.309 0.500 0.939 1
Se4 0.314 0.000 0.425 1
```

Properties
- formation energy without anion corrections (eV/atom) = -0.974